# 1
The following is a GGA-PBE calculation of a relaxed structure of CaLaDy2, from Alexandria via LeMat-Bulk.

```
data_CaLaDy2
_chemical_formula_sum 'Ca1 La1 Dy2'
_space_group_name_H-M_alt 'P 4/m m m'
_space_group_IT_number 123
_space_group_name_Hall '-P 4 2'
_cell_length_a 5.1179
_cell_length_b 5.1179
_cell_length_c 5.3109
_cell_angle_alpha 90.00
_cell_angle_beta 90.00
_cell_angle_gamma 90.00
loop_
_atom_site_label
_atom_site_fract_x
_atom_site_fract_y
_atom_site_fract_z
Ca1 0.0000 0.0000 0.0000
La1 0.5000 0.5000 0.0000
Dy1 0.0000 0.5000 0.5000
```

Results
Energy of formation = 121 meV/atom
ρ = 6.0 g/cm3
Relative energy among the computed polymorphs = 0.0566 eV per atom

***

# 2
The following is a GGA-PBE calculation of a relaxed structure of CaLa5Dy6, from Alexandria via LeMat-Bulk.

```
data_CaLa5Dy6
_chemical_formula_sum 'Ca2 La10 Dy12'
_space_group_name_H-M_alt 'I m m m'
_space_group_IT_number 71
_space_group_name_Hall '-I 2 2'
_cell_length_a 5.2162
_cell_length_b 10.1546
_cell_length_c 15.6627
_cell_angle_alpha 90.00
_cell_angle_beta 90.00
_cell_angle_gamma 90.00
loop_
_atom_site_label
_atom_site_fract_x
_atom_site_fract_y
_atom_site_fract_z
Ca1 0.0000 0.0000 0.0000
La1 0.0000 0.0000 0.3308
La2 0.0000 0.5000 0.0000
La3 0.0000 0.5000 0.3290
Dy1 0.0000 0.2403 0.5000
Dy2 0.0000 0.2536 0.1679
```

Results
Energy of formation = 51 meV/atom
ρ = 6.8 g/cm3